{"formula": "LiIBr2", "functional": "PBE", "state": "optimized geometry", "e_form_raw_ev_per_atom": -0.439, "lattice": [[-3.747, 3.747, 4.794], [3.747, -3.747, 4.794], [3.747, 3.747, -4.794]], "species": ["Li", "Li", "I", "I", "Br", "Br", "Br", "Br"], "fractional_positions": [[0.000, 0.000, 0.000], [0.750, 0.250, 0.500], [0.250, 0.750, 0.500], [0.500, 0.500, 0.000], [0.045, 0.625, 0.920], [0.375, 0.295, 0.420], [0.705, 0.125, 0.080], [0.875, 0.955, 0.580]]}

=====

{"formula": "LiI2Br", "functional": "PBE", "state": "optimized geometry", "e_form_raw_ev_per_atom": -0.707, "lattice": [[4.405, 0.000, 0.000], [2.133, 3.855, 0.000], [1.479, 0.876, 16.735]], "species": ["Li", "Li", "I", "I", "I", "I", "Br", "Br"], "fractional_positions": [[0.000, 0.000, 0.000], [0.367, 0.396, 0.799], [0.305, 0.272, 0.445], [0.617, 0.024, 0.149], [0.910, 0.712, 0.296], [0.984, 0.536, 0.591], [0.330, 0.355, 0.956], [0.711, 0.737, 0.767]]}

=====

{"formula": "Li2IBr6", "functional": "PBE", "state": "optimized geometry", "e_form_raw_ev_per_atom": -0.586, "lattice": [[6.986, 0.000, 0.000], [0.000, 7.946, 0.000], [-4.667, 0.000, 10.987]], "species": ["Li", "Li", "Li", "Li", "I", "I", "Br", "Br", "Br", "Br", "Br", "Br", "Br", "Br", "Br", "Br", "Br", "Br"], "fractional_positions": [[0.051, 0.206, 0.147], [0.051, 0.294, 0.647], [0.949, 0.706, 0.353], [0.949, 0.794, 0.853], [0.500, 0.000, 0.000], [0.500, 0.500, 0.500], [0.083, 0.001, 0.738], [0.083, 0.499, 0.238], [0.254, 0.699, 0.570], [0.254, 0.801, 0.070], [0.358, 0.225, 0.576], [0.358, 0.275, 0.076], [0.642, 0.725, 0.924], [0.642, 0.775, 0.424], [0.746, 0.199, 0.930], [0.746, 0.301, 0.430], [0.917, 0.501, 0.762], [0.917, 0.999, 0.262]]}

=====

{"formula": "LiI2Br", "functional": "PBE", "state": "optimized geometry", "e_form_raw_ev_per_atom": -0.679, "lattice": [[5.314, 0.000, 0.000], [-0.197, 7.511, 0.000], [-1.758, -2.698, 7.796]], "species": ["Li", "Li", "I", "I", "I", "I", "Br", "Br"], "fractional_positions": [[0.203, 0.455, 0.361], [0.797, 0.545, 0.639], [0.003, 0.235, 0.757], [0.335, 0.057, 0.251], [0.665, 0.943, 0.749], [0.997, 0.765, 0.243], [0.317, 0.571, 0.692], [0.683, 0.429, 0.308]]}

=====

{"formula": "Li5IBr4", "functional": "PBE", "state": "optimized geometry", "e_form_raw_ev_per_atom": -1.475, "lattice": [[4.278, 0.000, 0.000], [-2.139, 3.705, 0.000], [0.000, 0.000, 34.392]], "species": ["Li", "Li", "Li", "Li", "Li", "Li", "Li", "Li", "Li", "Li", "I", "I", "Br", "Br", "Br", "Br", "Br", "Br", "Br", "Br"], "fractional_positions": [[0.000, 0.000, 0.000], [0.000, 0.000, 0.193], [0.000, 0.000, 0.386], [0.000, 0.000, 0.579], [0.000, 0.000, 0.790], [0.333, 0.667, 0.097], [0.333, 0.667, 0.290], [0.333, 0.667, 0.483], [0.333, 0.667, 0.694], [0.333, 0.667, 0.904], [0.000, 0.000, 0.661], [0.000, 0.000, 0.872], [0.000, 0.000, 0.075], [0.000, 0.000, 0.268], [0.000, 0.000, 0.461], [0.333, 0.667, 0.171], [0.333, 0.667, 0.364], [0.333, 0.667, 0.558], [0.333, 0.667, 0.768], [0.333, 0.667, 0.978]]}

=====

{"formula": "Li4I3Br", "functional": "PBE", "state": "optimized geometry", "e_form_raw_ev_per_atom": -1.249, "lattice": [[5.908, 0.000, 0.000], [0.000, 5.908, 0.000], [0.000, 0.000, 5.908]], "species": ["Li", "Li", "Li", "Li", "I", "I", "I", "Br"], "fractional_positions": [[0.000, 0.000, 0.000], [0.000, 0.500, 0.500], [0.500, 0.000, 0.500], [0.500, 0.500, 0.000], [0.000, 0.000, 0.500], [0.000, 0.500, 0.000], [0.500, 0.000, 0.000], [0.500, 0.500, 0.500]]}